Mn2AgPt | PBE | relaxed

a b c (Å): 2.9642 2.9642 7.2288
angles (deg): 90.00 90.00 90.00
Positions (direct):
Pt (0.5000, 0.5000, 0.2500)
Mn (0.0000, 0.0000, 0.0129)
Mn (0.0000, 0.0000, 0.4871)
Ag (0.5000, 0.5000, 0.7500)

## Properties
M_tot = 8.41 μB per cell
calculated formation energy = -24 meV per atom
symmetry = P4/mmm (123)

***

MnAgPt2 | PBE | relaxed

a b c (Å): 4.8529 4.8529 4.8658
angles (deg): 78.11 78.11 34.40
Positions (direct):
Ag (0.2500, 0.2500, 0.2500)
Mn (0.7500, 0.7500, 0.7500)
Pt (0.4919, 0.4919, 0.5075)
Pt (0.0081, 0.0081, 0.9925)

## Properties
M_tot = 4.40 μB per cell
calculated formation energy = -132 meV per atom
symmetry = C2/m (12)

***

MnAgPt2 | PBE | relaxed

a b c (Å): 4.9069 4.9069 4.8084
angles (deg): 78.94 78.94 34.18
Positions (direct):
Pt (0.2542, 0.2542, 0.2510)
Pt (0.0035, 0.0035, 0.9899)
Mn (0.7431, 0.7431, 0.7634)
Ag (0.4992, 0.4992, 0.4957)

## Properties
M_tot = 4.52 μB per cell
calculated formation energy = -104 meV per atom
symmetry = Cm (8)

***

> Which of these has the lowest M_tot?

number 2

***

> Which value of M_tot does entry 2 give?

4.40 μB per cell

***

> Which value of M_tot does entry 2 give?

4.40 μB per cell